The following is a PBE+U calculation of crystalline FeNi2SnO6 at its relaxed geometry, from Alexandria.

The structure in CIF format:
```
data_FeNi2SnO6
_cell_length_a 5.165
_cell_length_b 5.166
_cell_length_c 5.520
_cell_angle_alpha 90.08
_cell_angle_beta 117.81
_cell_angle_gamma 119.99
_symmetry_space_group_name_H-M 'P 1'
_symmetry_Int_Tables_number 1
_symmetry_space_group_name_Hall 'P 1'
loop_
_atom_site_label
_atom_site_type_symbol
_atom_site_fract_x
_atom_site_fract_y
_atom_site_fract_z
_atom_site_occupancy
Fe1 Fe 0.000 0.000 0.000 1
Ni1 Ni 0.407 0.203 0.610 1
Ni2 Ni 0.407 0.703 0.111 1
Sn1 Sn 0.000 0.500 0.500 1
O1 O 0.212 0.911 0.816 1
O2 O 0.217 0.810 0.312 1
O3 O 0.501 0.406 0.312 1
O4 O 0.515 0.604 0.816 1
O5 O 0.905 0.094 0.312 1
O6 O 0.905 0.301 0.816 1
```

Values from the calculation:
Total DFT energy (no corrections), eV per atom: -5.686